Entry 1:
Entry from the Alexandria database: an optimized crystal structure of ScOsNF2 (GGA-PBE).

```
ScOsNF2
1.0
4.3735 0.0000 0.0000
0.0000 4.3735 0.0000
0.0000 0.0000 3.7505
Sc Os N F
1 1 1 2
direct
0.0000 0.0000 0.0000
0.5000 0.5000 0.5000
0.5000 0.5000 0.0000
0.0000 0.5000 0.5000
0.5000 0.0000 0.5000
```

Output
Calculated density: 6.6 g cm⁻³
Formation energy (no corrections): -561.4 meV per atom
Crystal system: tetragonal
Final energy: -6.487 eV per atom

=====

Entry 2:
Entry from the Alexandria database: an optimized crystal structure of SiOsN2F (GGA-PBE).

```
SiOsN2F
1.0
3.7572 0.0000 0.0000
0.0000 3.7572 0.0000
0.0000 0.0000 3.3499
Si Os N F
1 1 2 1
direct
0.0000 0.0000 0.0000
0.5000 0.5000 0.5000
0.0000 0.5000 0.0000
0.5000 0.0000 0.0000
0.0000 0.0000 0.5000
```

Output
Calculated density: 9.3 g cm⁻³
Formation energy (no corrections): 524.7 meV per atom
Crystal system: tetragonal
Final energy: -6.510 eV per atom

=====

Entry 3:
Entry from the Alexandria database: an optimized crystal structure of SiOs2NF (GGA-PBE).

```
SiOs2NF
1.0
3.8283 0.0000 0.0000
0.0000 3.8283 0.0000
0.0000 0.0000 5.3723
Si Os N F
1 2 1 1
direct
0.0000 0.0000 0.0000
0.0000 0.5000 0.5000
0.5000 0.0000 0.5000
0.0000 0.0000 0.5000
0.5000 0.5000 0.0000
```

Output
Calculated density: 9.3 g cm⁻³
Formation energy (no corrections): 758.7 meV per atom
Crystal system: tetragonal
Final energy: -6.857 eV per atom

=====

Entry 4:
Entry from the Alexandria database: an optimized crystal structure of SiOsN2F (GGA-PBE).

```
SiOsN2F
1.0
3.8839 0.0000 0.0000
0.0000 3.8839 0.0000
0.0000 0.0000 3.9530
Si Os N F
1 1 2 1
direct
0.0000 0.0000 0.0000
0.5000 0.5000 0.0000
0.0000 0.5000 0.5000
0.5000 0.0000 0.5000
0.5000 0.5000 0.5000
```

Output
Calculated density: 7.4 g cm⁻³
Formation energy (no corrections): 2475.9 meV per atom
Crystal system: tetragonal
Final energy: -4.559 eV per atom